! CaMg2Cu4 SCAN PBEsol geometry; values from VASP
! DFT formation energy in eV/atom: -0.1238
! DOS(E_F) in states/eV/atom: 0.41
! Relative energy among the computed polymorphs in meV per atom: 0.0
&SYSTEM
  ibrav = 0, nat = 14, ntyp = 3
/
ATOMIC_SPECIES
Ca 40.08 Ca.upf
Cu 63.55 Cu.upf
Mg 24.30 Mg.upf
ATOMIC_POSITIONS crystal
Ca 0.000 0.250 0.250
Ca 0.000 0.750 0.750
Cu 0.220 0.529 0.029
Cu 0.780 0.809 0.309
Cu 0.500 0.029 0.809
Cu 0.500 0.309 0.529
Cu 0.500 0.691 0.471
Cu 0.500 0.971 0.191
Cu 0.220 0.191 0.691
Cu 0.780 0.471 0.971
Mg 0.186 0.843 0.343
Mg 0.814 0.157 0.657
Mg 0.500 0.343 0.157
Mg 0.500 0.657 0.843
CELL_PARAMETERS angstrom
-1.563 0.561 6.529
1.331 -6.410 -1.589
5.523 3.578 -1.443


! Be2InFe SCAN PBEsol geometry; values from VASP
! DFT formation energy in eV/atom: 0.3791
! DOS(E_F) in states/eV/atom: 0.33
&SYSTEM
  ibrav = 0, nat = 4, ntyp = 3
/
ATOMIC_SPECIES
Be 9.01 Be.upf
Fe 55.84 Fe.upf
In 114.82 In.upf
ATOMIC_POSITIONS crystal
Be 0.000 0.000 0.500
Be 0.500 0.500 0.500
Fe 0.500 0.000 0.000
In 0.000 0.500 0.000
CELL_PARAMETERS angstrom
-1.715 0.736 -1.886
3.028 -1.768 -3.023
-2.507 -3.110 2.722


! TlCu2Se2O10 SCAN PBEsol geometry; values from VASP
! Energy relative to the elements, uncorrected in eV per atom: -0.5785
! DOS(E_F) in states/eV/atom: 0.08
&SYSTEM
  ibrav = 0, nat = 15, ntyp = 4
/
ATOMIC_SPECIES
Tl 204.38 Tl.upf
Cu 63.55 Cu.upf
Se 78.96 Se.upf
O 16.00 O.upf
ATOMIC_POSITIONS crystal
Tl 0.000 0.500 0.500
Cu 0.500 0.000 0.000
Cu 0.000 0.500 0.000
Se 0.799 0.940 0.739
Se 0.201 0.060 0.261
O 0.011 0.834 0.845
O 0.989 0.166 0.155
O 0.699 0.830 0.529
O 0.301 0.170 0.471
O 0.962 0.289 0.790
O 0.502 0.828 0.790
O 0.038 0.711 0.210
O 0.498 0.172 0.210
O 0.633 0.320 0.953
O 0.367 0.680 0.047
CELL_PARAMETERS angstrom
5.624 0.019 -0.050
-2.350 5.110 0.050
-2.092 -2.274 7.711


! LaTlOs2 SCAN PBEsol geometry; values from VASP
! DFT formation energy in eV/atom: 0.7294
! DOS(E_F) in states/eV/atom: 1.02
! Relative energy among the computed polymorphs in meV per atom: 0.0
&SYSTEM
  ibrav = 0, nat = 4, ntyp = 3
/
ATOMIC_SPECIES
La 138.91 La.upf
Os 190.23 Os.upf
Tl 204.38 Tl.upf
ATOMIC_POSITIONS crystal
La 0.500 0.500 0.500
Os 0.000 0.000 0.804
Os 0.000 0.000 0.196
Tl 0.500 0.500 0.000
CELL_PARAMETERS angstrom
-0.808 -1.124 2.677
-2.336 -2.945 -1.942
4.993 -3.878 -0.123


! NbAlCrTe2 SCAN PBEsol geometry; values from VASP
! Energy relative to the elements, uncorrected in eV per atom: 0.5459
! DOS(E_F) in states/eV/atom: 0.54
&SYSTEM
  ibrav = 0, nat = 5, ntyp = 4
/
ATOMIC_SPECIES
Cr 52.00 Cr.upf
Nb 92.91 Nb.upf
Te 127.60 Te.upf
Al 26.98 Al.upf
ATOMIC_POSITIONS crystal
Cr 0.500 0.500 0.500
Nb 0.000 0.000 0.000
Te 0.000 0.000 0.500
Te 0.000 0.500 0.000
Al 0.500 0.000 0.000
CELL_PARAMETERS angstrom
5.000 0.000 0.000
0.000 5.327 0.000
0.000 0.000 5.327


! Fe2OsS2 SCAN PBEsol geometry; values from VASP
! Energy relative to the elements, uncorrected in eV per atom: 0.6820
! DOS(E_F) in states/eV/atom: 0.65
&SYSTEM
  ibrav = 0, nat = 5, ntyp = 3
/
ATOMIC_SPECIES
S 32.06 S.upf
Os 190.23 Os.upf
Fe 55.84 Fe.upf
ATOMIC_POSITIONS crystal
S 0.370 0.370 0.739
S 0.630 0.630 0.261
Os 0.000 0.000 0.000
Fe 0.250 0.750 0.500
Fe 0.750 0.250 0.500
CELL_PARAMETERS angstrom
3.843 0.000 0.000
0.000 3.843 0.000
-1.921 -1.921 4.028


! YTlN2 SCAN PBEsol geometry; values from VASP
! Energy relative to the elements, uncorrected in eV per atom: -0.4717
! Relative energy among the computed polymorphs in meV per atom: 0.0
&SYSTEM
  ibrav = 0, nat = 4, ntyp = 3
/
ATOMIC_SPECIES
Y 88.91 Y.upf
Tl 204.38 Tl.upf
N 14.01 N.upf
ATOMIC_POSITIONS crystal
Y 0.500 0.500 0.500
Tl 0.000 0.000 0.000
N 0.893 0.893 0.320
N 0.107 0.107 0.680
CELL_PARAMETERS angstrom
3.648 0.000 0.000
1.824 3.159 0.000
1.824 1.053 6.222


! SiOsPt2 SCAN PBEsol geometry; values from VASP
! Energy relative to the elements, uncorrected in eV per atom: 0.0070
! DOS(E_F) in states/eV/atom: 0.85
&SYSTEM
  ibrav = 0, nat = 4, ntyp = 3
/
ATOMIC_SPECIES
Os 190.23 Os.upf
Pt 195.08 Pt.upf
Si 28.09 Si.upf
ATOMIC_POSITIONS crystal
Os 0.500 0.500 0.500
Pt 0.000 0.000 0.771
Pt 0.000 0.000 0.229
Si 0.500 0.500 0.000
CELL_PARAMETERS angstrom
2.760 0.000 0.000
0.000 2.760 0.000
0.000 0.000 7.360


- What is the formula in the second record?
  Be2InFe